Record 1
The following is a PBE calculation of a relaxed ReTeRh4 crystal, from Alexandria via LeMat-Bulk.

```
data_ReTeRh4
_chemical_formula_sum 'Re1 Te1 Rh4'
_cell_length_a 5.167
_cell_length_b 5.167
_cell_length_c 5.167
_cell_angle_alpha 60.00
_cell_angle_beta 60.00
_cell_angle_gamma 60.00
_symmetry_space_group_name_H-M 'P 1'
_symmetry_Int_Tables_number 1
_symmetry_space_group_name_Hall 'P 1'
loop_
_atom_site_label
_atom_site_type_symbol
_atom_site_fract_x
_atom_site_fract_y
_atom_site_fract_z
Te1 Te 0.250 0.250 0.250
Rh1 Rh 0.122 0.626 0.626
Rh2 Rh 0.626 0.626 0.626
Rh3 Rh 0.626 0.122 0.626
Rh4 Rh 0.626 0.626 0.122
Re1 Re 0.000 0.000 0.000
```

DOS(E_F) (states/eV/atom): 1.634
SG: F-43m
Crystal system: cubic

Record 2
The following is a PBE calculation of a relaxed ReTe4Rh crystal, from Alexandria via LeMat-Bulk.

```
data_ReTe4Rh
_chemical_formula_sum 'Re1 Te4 Rh1'
_cell_length_a 6.090
_cell_length_b 6.090
_cell_length_c 6.090
_cell_angle_alpha 60.00
_cell_angle_beta 60.00
_cell_angle_gamma 60.00
_symmetry_space_group_name_H-M 'P 1'
_symmetry_Int_Tables_number 1
_symmetry_space_group_name_Hall 'P 1'
loop_
_atom_site_label
_atom_site_type_symbol
_atom_site_fract_x
_atom_site_fract_y
_atom_site_fract_z
Te1 Te 0.375 0.375 0.375
Te2 Te 0.375 0.375 0.876
Te3 Te 0.375 0.876 0.375
Te4 Te 0.876 0.375 0.375
Rh1 Rh 0.000 0.000 0.000
Re1 Re 0.750 0.750 0.750
```

DOS(E_F) (states/eV/atom): 1.168
SG: F-43m
Crystal system: cubic

Record 3
The following is a PBE calculation of a relaxed ReTe3Rh crystal, from Alexandria via LeMat-Bulk.

```
data_ReTe3Rh
_chemical_formula_sum 'Re1 Te3 Rh1'
_cell_length_a 5.159
_cell_length_b 5.159
_cell_length_c 5.159
_cell_angle_alpha 90.00
_cell_angle_beta 90.00
_cell_angle_gamma 90.00
_symmetry_space_group_name_H-M 'P 1'
_symmetry_Int_Tables_number 1
_symmetry_space_group_name_Hall 'P 1'
loop_
_atom_site_label
_atom_site_type_symbol
_atom_site_fract_x
_atom_site_fract_y
_atom_site_fract_z
Te1 Te 0.000 0.500 0.000
Te2 Te 0.000 0.000 0.500
Re1 Re 0.500 0.500 0.500
Te3 Te 0.500 0.000 0.000
Rh1 Rh 0.000 0.000 0.000
```

Offset from the most stable computed form (eV/atom): 0.094
DOS(E_F) (states/eV/atom): 1.205
SG: Pm-3m
Crystal system: cubic

Record 4
The following is a PBE calculation of a relaxed Zn2ReTeRh crystal, from Alexandria via LeMat-Bulk.

```
data_Zn2ReTeRh
_chemical_formula_sum 'Zn2 Re1 Te1 Rh1'
_cell_length_a 5.004
_cell_length_b 4.856
_cell_length_c 5.004
_cell_angle_alpha 90.00
_cell_angle_beta 90.00
_cell_angle_gamma 90.00
_symmetry_space_group_name_H-M 'P 1'
_symmetry_Int_Tables_number 1
_symmetry_space_group_name_Hall 'P 1'
loop_
_atom_site_label
_atom_site_type_symbol
_atom_site_fract_x
_atom_site_fract_y
_atom_site_fract_z
Te1 Te 0.000 0.000 0.000
Rh1 Rh 0.000 0.500 0.000
Zn1 Zn 0.500 0.000 0.000
Zn2 Zn 0.000 0.000 0.500
Re1 Re 0.500 0.500 0.500
```

DOS(E_F) (states/eV/atom): 0.856
SG: P4/mmm
Crystal system: tetragonal

Record 5
The following is a PBE calculation of a relaxed Th2ReRh crystal, from Alexandria via LeMat-Bulk.

```
data_Th2ReRh
_chemical_formula_sum 'Th2 Re1 Rh1'
_cell_length_a 3.405
_cell_length_b 3.405
_cell_length_c 9.780
_cell_angle_alpha 79.97
_cell_angle_beta 79.97
_cell_angle_gamma 60.00
_symmetry_space_group_name_H-M 'P 1'
_symmetry_Int_Tables_number 1
_symmetry_space_group_name_Hall 'P 1'
loop_
_atom_site_label
_atom_site_type_symbol
_atom_site_fract_x
_atom_site_fract_y
_atom_site_fract_z
Rh1 Rh 0.500 0.500 0.500
Re1 Re 0.000 0.000 0.000
Th1 Th 0.909 0.909 0.272
Th2 Th 0.091 0.091 0.728
```

DOS(E_F) (states/eV/atom): 0.991
SG: R-3m
Crystal system: trigonal

Record 6
The following is a PBE calculation of a relaxed Th2ReRh crystal, from Alexandria via LeMat-Bulk.

```
data_Th2ReRh
_chemical_formula_sum 'Th2 Re1 Rh1'
_cell_length_a 3.590
_cell_length_b 3.590
_cell_length_c 7.096
_cell_angle_alpha 90.00
_cell_angle_beta 90.00
_cell_angle_gamma 90.00
_symmetry_space_group_name_H-M 'P 1'
_symmetry_Int_Tables_number 1
_symmetry_space_group_name_Hall 'P 1'
loop_
_atom_site_label
_atom_site_type_symbol
_atom_site_fract_x
_atom_site_fract_y
_atom_site_fract_z
Re1 Re 0.500 0.500 0.000
Rh1 Rh 0.500 0.500 0.500
Th1 Th 0.000 0.000 0.751
Th2 Th 0.000 0.000 0.249
```

DOS(E_F) (states/eV/atom): 0.592
SG: P4/mmm
Crystal system: tetragonal

Record 7
The following is a PBE calculation of a relaxed ThReRh crystal, from Alexandria via LeMat-Bulk.

```
data_ThReRh
_chemical_formula_sum 'Th2 Re2 Rh2'
_cell_length_a 3.743
_cell_length_b 3.509
_cell_length_c 10.015
_cell_angle_alpha 79.91
_cell_angle_beta 90.00
_cell_angle_gamma 90.00
_symmetry_space_group_name_H-M 'P 1'
_symmetry_Int_Tables_number 1
_symmetry_space_group_name_Hall 'P 1'
loop_
_atom_site_label
_atom_site_type_symbol
_atom_site_fract_x
_atom_site_fract_y
_atom_site_fract_z
Th1 Th 0.250 0.889 0.222
Rh1 Rh 0.250 0.549 0.903
Rh2 Rh 0.750 0.451 0.097
Re1 Re 0.750 0.753 0.495
Re2 Re 0.250 0.247 0.505
Th2 Th 0.750 0.111 0.778
```

DOS(E_F) (states/eV/atom): 0.835
SG: Cmcm
Crystal system: orthorhombic

Record 8
The following is a PBE calculation of a relaxed Ti7ReRh2 crystal, from Alexandria via LeMat-Bulk.

```
data_Ti7ReRh2
_chemical_formula_sum 'Ti7 Re1 Rh2'
_cell_length_a 6.476
_cell_length_b 6.476
_cell_length_c 6.476
_cell_angle_alpha 60.00
_cell_angle_beta 60.00
_cell_angle_gamma 60.00
_symmetry_space_group_name_H-M 'P 1'
_symmetry_Int_Tables_number 1
_symmetry_space_group_name_Hall 'P 1'
loop_
_atom_site_label
_atom_site_type_symbol
_atom_site_fract_x
_atom_site_fract_y
_atom_site_fract_z
Ti1 Ti 0.254 0.746 0.746
Ti2 Ti 0.254 0.746 0.254
Ti3 Ti 0.746 0.254 0.254
Ti4 Ti 0.746 0.746 0.254
Rh1 Rh 0.250 0.250 0.250
Ti5 Ti 0.746 0.254 0.746
Ti6 Ti 0.500 0.500 0.500
Ti7 Ti 0.254 0.254 0.746
Re1 Re 0.000 0.000 0.000
Rh2 Rh 0.750 0.750 0.750
```

DOS(E_F) (states/eV/atom): 1.653
SG: Fm-3m
Crystal system: cubic

One value per record, in order, for M_tot: 1.4; 4.1; 3.2; 4.2; 0.0; 0.0; 0.0; 0.0 μB/cell.
One value per record, in order, for raw total energy: -41.42; -22.49; -22.82; -17.11; -32.57; -35.81; -54.93; -74.35 eV per cell.
One value per record, in order, for theoretical density: 12352; 8312; 8125; 7478; 12999; 13674; 13364; 6286 kg/m3.